## Au2Cl3 (GGA-PBE)

Data for a relaxed Au2Cl3 crystal.

abc: 5.3208 5.3208 4.7973
angles: 90.00 90.00 120.00
Space group P6/mmm (No. 191)
One atom of each set of equivalent atoms:
1 Au 0.3333 0.6667 0.0000 (multiplicity 2)
2 Cl 0.0000 0.0000 0.0000 (multiplicity 1)
3 Cl 0.3333 0.6667 0.5000 (multiplicity 2)

Computed properties:
The distance to the lowest polymorph of the same formula is 287 meV per atom. For the formation energy from raw total energies, the calculation gives 0.121 eV/atom.

=====

## AuCl (GGA-PBE)

Data for a relaxed AuCl crystal.

abc: 6.7858 7.7387 9.7777
angles: 90.00 90.00 90.00
Space group P2_12_12_1 (No. 19)
One atom of each set of equivalent atoms:
1 Au 0.0183 0.0143 0.3778 (multiplicity 4)
2 Au 0.2307 0.1877 0.1384 (multiplicity 4)
3 Cl 0.2114 0.9302 0.0168 (multiplicity 4)
4 Cl 0.2336 0.5458 0.7482 (multiplicity 4)

Computed properties:
For the formation energy from raw total energies, the calculation gives -0.186 eV/atom.

=====

## Au3Cl (GGA-PBE)

Data for a relaxed Au3Cl crystal.

abc: 4.5364 5.6077 6.6771
angles: 90.00 90.00 90.00
Space group Pmmn (No. 59, origin choice 2)
One atom of each set of equivalent atoms:
1 Au 0.2500 0.0008 0.1130 (multiplicity 4)
2 Au 0.2500 0.7500 0.7250 (multiplicity 2)
3 Cl 0.2500 0.2500 0.5341 (multiplicity 2)

Computed properties:
The distance to the lowest polymorph of the same formula is 89 meV per atom. For the formation energy from raw total energies, the calculation gives 0.148 eV/atom.

=====

| no. | total magnetic moment (μB per cell) | V (A^3/atom) | total energy (eV/cell) |
| --- | --- | --- | --- |
| 1 | 0.000 | 23.5 | -11.5 |
| 2 | 0.000 | 32.1 | -44.0 |
| 3 | 0.000 | 21.2 | -22.2 |